[1]
The following is a DFT calculation (GGA-PBE) of HfNpCo after structural relaxation.

Output
The calculation puts the final energy at -59.77 eV per cell. The total magnetization comes out at 2.57 μB/cell. The calculated density is 15.50 g cm⁻³. Its crystal system is orthorhombic.

Lattice parameters (Å, degrees): 7.915 7.915 3.850 90.00 90.00 155.08
Atoms (fractional coordinates):
Hf 0.077 0.923 0.750
Hf 0.923 0.077 0.250
Np 0.252 0.748 0.250
Np 0.748 0.252 0.750
Co 0.432 0.568 0.750
Co 0.568 0.432 0.250

=====

[2]
The following is a DFT calculation (GGA-PBE) of ZrSc3Ru after structural relaxation.

Output
The calculation puts the final energy at -36.32 eV per cell. The total magnetization comes out at 1.26 μB/cell. The calculated density is 4.45 g cm⁻³. Its relative energy among the computed polymorphs is 377 meV per atom. Its crystal system is cubic.

Lattice parameters (Å, degrees): 4.959 4.959 4.959 90.00 90.00 90.00
Atoms (fractional coordinates):
Zr 0.000 0.000 0.000
Sc 0.000 0.500 0.500
Sc 0.500 0.000 0.500
Sc 0.500 0.500 0.000
Ru 0.500 0.500 0.500

=====

[3]
The following is a DFT calculation (GGA-PBE) of BaGaIN2 after structural relaxation.

Output
As for the formation energy from raw total energies: 1562.2 meV per atom. The calculation puts the final energy at -15.34 eV per cell. The total magnetization comes out at 1.37 μB/cell. The calculated density is 4.47 g cm⁻³. Its relative energy among the computed polymorphs is 961 meV per atom. Its crystal system is tetragonal.

Lattice parameters (Å, degrees): 4.614 4.614 6.312 90.00 90.00 90.00
Atoms (fractional coordinates):
Ba 0.000 0.000 0.000
Ga 0.500 0.500 0.000
I 0.000 0.000 0.500
N 0.000 0.500 0.500
N 0.500 0.000 0.500

=====

[4]
The following is a DFT calculation (GGA-PBE) of Li2PPb after structural relaxation.

Output
The calculation puts the final energy at -13.97 eV per cell. The total magnetization comes out at 0.00 μB/cell. The calculated density is 5.62 g cm⁻³. Its relative energy among the computed polymorphs is 68 meV per atom. Its crystal system is tetragonal.

Lattice parameters (Å, degrees): 5.052 5.052 5.052 129.69 129.69 73.91
Atoms (fractional coordinates):
Li 0.250 0.750 0.500
Li 0.750 0.250 0.500
P 0.000 0.000 0.000
Pb 0.500 0.500 0.000

=====

[5]
The following is a DFT calculation (GGA-PBE) of Ba2PuReN5 after structural relaxation.

Output
As for the formation energy from raw total energies: -621.8 meV per atom. The calculation puts the final energy at -155.70 eV per cell. The total magnetization comes out at 3.94 μB/cell. The calculated density is 8.02 g cm⁻³. Its crystal system is orthorhombic.

Lattice parameters (Å, degrees): 7.953 7.953 11.508 90.00 90.00 153.84
Atoms (fractional coordinates):
Ba 0.113 0.887 0.500
Ba 0.143 0.857 0.151
Ba 0.857 0.143 0.651
Ba 0.887 0.113 0.000
Pu 0.201 0.799 0.854
Pu 0.799 0.201 0.354
Re 0.450 0.550 0.274
Re 0.550 0.450 0.774
N 0.047 0.953 0.841
N 0.293 0.707 0.466
N 0.325 0.675 0.232
N 0.327 0.673 0.833
N 0.500 0.500 0.136
N 0.500 0.500 0.636
N 0.673 0.327 0.333
N 0.675 0.325 0.732
N 0.707 0.293 0.966
N 0.953 0.047 0.341

=====

[6]
The following is a DFT calculation (GGA-PBE) of Ca2Ga2PdAu5 after structural relaxation.

Output
The calculation puts the final energy at -72.74 eV per cell. The total magnetization comes out at 0.00 μB/cell. The calculated density is 10.91 g cm⁻³. Its crystal system is tetragonal.

Lattice parameters (Å, degrees): 10.350 10.350 3.724 90.00 90.00 90.00
Atoms (fractional coordinates):
Ca 0.175 0.325 0.000
Ca 0.325 0.825 0.000
Ca 0.675 0.175 0.000
Ca 0.825 0.675 0.000
Ga 0.127 0.627 0.000
Ga 0.373 0.127 0.000
Ga 0.627 0.873 0.000
Ga 0.873 0.373 0.000
Pd 0.000 0.000 0.000
Pd 0.500 0.500 0.000
Au 0.000 0.500 0.500
Au 0.055 0.803 0.500
Au 0.197 0.055 0.500
Au 0.303 0.555 0.500
Au 0.445 0.303 0.500
Au 0.500 0.000 0.500
Au 0.555 0.697 0.500
Au 0.697 0.445 0.500
Au 0.803 0.945 0.500
Au 0.945 0.197 0.500

=====

[7]
The following is a DFT calculation (GGA-PBE) of Ba2CrSb after structural relaxation.

Output
As for the formation energy from raw total energies: 128.4 meV per atom. The calculation puts the final energy at -34.16 eV per cell. The total magnetization comes out at 6.32 μB/cell. The calculated density is 3.89 g cm⁻³. Its crystal system is tetragonal.

Lattice parameters (Å, degrees): 9.008 9.008 9.008 94.66 94.66 146.86
Atoms (fractional coordinates):
Ba 0.375 0.201 0.326
Ba 0.799 0.125 0.174
Ba 0.875 0.049 0.674
Ba 0.951 0.625 0.826
Cr 0.000 0.000 0.000
Cr 0.750 0.250 0.500
Sb 0.250 0.750 0.500
Sb 0.500 0.500 0.000

=====

[8]
The following is a DFT calculation (GGA-PBE) of KSc2Ag after structural relaxation.

Output
The calculation puts the final energy at -14.38 eV per cell. The total magnetization comes out at 0.93 μB/cell. The calculated density is 3.68 g cm⁻³. Its crystal system is orthorhombic.

Lattice parameters (Å, degrees): 6.437 6.437 3.060 90.00 90.00 122.50
Atoms (fractional coordinates):
K 0.000 0.000 0.000
Sc 0.000 0.500 0.500
Sc 0.500 0.000 0.500
Ag 0.500 0.500 0.000

=====

[9]
The following is a DFT calculation (GGA-PBE) of GaBiH6Ru2 after structural relaxation.

Output
The calculation puts the final energy at -88.94 eV per cell. The total magnetization comes out at 0.00 μB/cell. The calculated density is 7.27 g cm⁻³. Its crystal system is monoclinic.

Lattice parameters (Å, degrees): 5.053 5.053 9.229 90.41 90.41 109.21
Atoms (fractional coordinates):
Ga 0.086 0.914 0.750
Ga 0.914 0.086 0.250
Bi 0.479 0.521 0.250
Bi 0.521 0.479 0.750
H 0.063 0.710 0.336
H 0.144 0.186 0.942
H 0.185 0.652 0.978
H 0.186 0.144 0.442
H 0.290 0.937 0.164
H 0.348 0.815 0.522
H 0.652 0.185 0.478
H 0.710 0.063 0.836
H 0.814 0.856 0.558
H 0.815 0.348 0.022
H 0.856 0.814 0.058
H 0.937 0.290 0.664
Ru 0.000 0.388 0.853
Ru 0.000 0.612 0.147
Ru 0.388 0.000 0.353
Ru 0.612 0.000 0.647

=====

[10]
The following is a DFT calculation (GGA-PBE) of AlCrHg3 after structural relaxation.

Output
The calculation puts the final energy at -11.15 eV per cell. The total magnetization comes out at 5.08 μB/cell. The calculated density is 8.11 g cm⁻³. Its relative energy among the computed polymorphs is 0 meV per atom. Its crystal system is cubic.

Lattice parameters (Å, degrees): 5.185 5.185 5.185 90.00 90.00 90.00
Atoms (fractional coordinates):
Al 0.000 0.000 0.000
Cr 0.500 0.500 0.500
Hg 0.000 0.000 0.500
Hg 0.000 0.500 0.000
Hg 0.500 0.000 0.000

=====

[11]
The following is a DFT calculation (GGA-PBE) of SrReSeBr2 after structural relaxation.

Output
As for the formation energy from raw total energies: -318.2 meV per atom. The calculation puts the final energy at -22.55 eV per cell. The total magnetization comes out at 0.06 μB/cell. The calculated density is 6.31 g cm⁻³. Its relative energy among the computed polymorphs is 0 meV per atom. Its crystal system is tetragonal.

Lattice parameters (Å, degrees): 5.311 5.311 4.784 90.00 90.00 90.00
Atoms (fractional coordinates):
Sr 0.000 0.000 0.000
Re 0.500 0.500 0.500
Se 0.500 0.500 0.000
Br 0.000 0.500 0.500
Br 0.500 0.000 0.500

=====

[12]
The following is a DFT calculation (GGA-PBE) of Re3SiGe after structural relaxation.

Output
As for the formation energy from raw total energies: 1416.9 meV per atom. The calculation puts the final energy at -40.30 eV per cell. The total magnetization comes out at 0.59 μB/cell. The calculated density is 12.53 g cm⁻³. Its relative energy among the computed polymorphs is 0 meV per atom. Its crystal system is cubic.

Lattice parameters (Å, degrees): 4.438 4.438 4.438 90.00 90.00 90.00
Atoms (fractional coordinates):
Re 0.000 0.000 0.500
Re 0.000 0.500 0.000
Re 0.500 0.000 0.000
Si 0.000 0.000 0.000
Ge 0.500 0.500 0.500

=====

- Among the records above, which one has the lowest final energy?
  Ba2PuReN5

=====

- Number 8 is which compound?
  KSc2Ag